# NdMg

A relaxed NdMg crystal (PBE, OQMD via LeMat-Bulk).

Output
Excess energy over the best structure of this formula in the dataset   1.829 kcal/mol of atoms

Cell lengths 4.0295, 5.4490, 10.7908 Å; angles 90.00, 90.00, 90.00 degrees
Space group Pmmn (No. 59, origin choice 2)
One atom of each set of equivalent atoms:
Nd 0.2500 0.2500 0.0325
Nd 0.2500 0.7500 0.2621
Mg 0.2500 0.2500 0.4891
Mg 0.2500 0.7500 0.7196